# 1
## CrNi2Te (PBE)

Data for an optimized crystal structure of CrNi2Te.

Cell lengths 3.8127, 3.8127, 9.1049 Å; angles 77.91, 77.91, 90.00 degrees
Site moments in Bohr magnetons follow the coordinates.
Atoms (fractional coordinates):
Ni1 0.8750 0.8638 0.7500  0.06
Ni2 0.6138 0.1250 0.2500  0.01
Ni3 0.1362 0.6250 0.2500  0.01
Ni4 0.3750 0.3862 0.7500  0.05
Cr1 0.2500 0.7500 0.5000  2.98
Cr2 0.5000 0.5000 0.0000  2.98
Te1 0.0000 0.0000 0.0000  -0.06
Te2 0.7500 0.2500 0.5000  -0.06

## Properties
uncorrected formation energy: 0.35 eV per atom
crystal system: tetragonal
mass density: 7.80 g/cm3
magnetic moment: 6.4 μB per cell

# 2
## CrNi4Te (PBE)

Data for an optimized crystal structure of CrNi4Te.

Cell lengths 4.8311, 4.8311, 4.8311 Å; angles 60.00, 60.00, 60.00 degrees
Site moments in Bohr magnetons follow the coordinates.
Atoms (fractional coordinates):
Ni1 0.1225 0.6258 0.6258  0.24
Ni2 0.6258 0.6258 0.6258  0.24
Ni3 0.6258 0.1225 0.6258  0.24
Ni4 0.6258 0.6258 0.1225  0.24
Cr1 0.0000 0.0000 0.0000  3.21
Te1 0.2500 0.2500 0.2500  -0.02

## Properties
uncorrected formation energy: 0.16 eV per atom
crystal system: cubic
mass density: 8.63 g/cm3
magnetic moment: 4.3 μB per cell

# 3
## CrNiTe2 (PBE)

Data for an optimized crystal structure of CrNiTe2.

Cell lengths 7.5312, 7.5312, 7.5312 Å; angles 151.99, 152.67, 39.53 degrees
Site moments in Bohr magnetons follow the coordinates.
Atoms (fractional coordinates):
Ni1 0.2924 0.7924 0.5000  -0.13
Te1 0.7712 0.2712 0.5000  -0.13
Te2 0.0110 0.0110 0.0000  -0.23
Cr1 0.4253 0.4253 0.0000  2.83

## Properties
uncorrected formation energy: 0.06 eV per atom
crystal system: orthorhombic
energy above the most stable polymorph in this dataset: 22.7 kJ per mole of atoms
mass density: 6.61 g/cm3
magnetic moment: 2.4 μB per cell

# 4
## CrNi2Te (PBE)

Data for an optimized crystal structure of CrNi2Te.

Cell lengths 4.7712, 4.7712, 3.7931 Å; angles 66.57, 66.57, 46.89 degrees
Site moments in Bohr magnetons follow the coordinates.
Atoms (fractional coordinates):
Cr1 0.2501 0.2501 0.2499  2.90
Ni1 0.9999 0.9999 0.0002  0.35
Ni2 0.7499 0.7499 0.7501  0.32
Te1 0.5001 0.5001 0.4998  -0.04

## Properties
uncorrected formation energy: 0.15 eV per atom
crystal system: tetragonal
mass density: 8.68 g/cm3
magnetic moment: 3.7 μB per cell